VASP calculation (PBE-GGA) on Cu2TcOsAu after structural relaxation.

## Properties
The calculation puts the total energy at -22.269 eV for the cell shown. As for the density of states at the Fermi level: 1.42 states/eV/atom. Its formation energy from the elements is 2.16 eV per atom. The total moment comes out at 3.79 Bohr magnetons per cell. As for the space group: No. 123.

a b c (Å): 4.513 4.930 4.513
angles (deg): 90.00 90.00 90.00
Site moments in Bohr magnetons follow the coordinates.
Atoms (fractional coordinates):
Au 0.000 0.500 0.000  0.05
Cu 0.000 0.000 0.500  0.17
Os 0.500 0.500 0.500  2.34
Tc 0.000 0.000 0.000  0.96
Cu 0.500 0.000 0.000  0.07